DFT (GGA-PBE) results for a relaxed structure of Y12Ni3H5.

energy = -468.34 eV for the cell shown

abc: 13.011 13.011 13.011
angles: 109.47 109.47 109.47
Fractional positions:
H 0.125 0.750 0.375
Y 0.097 0.190 0.216
Ni 0.625 0.250 0.375
Y 0.974 0.594 0.190
Y 0.310 0.526 0.406
H 0.250 0.875 0.125
Ni 0.250 0.125 0.375
H 0.875 0.250 0.625
H 0.625 0.750 0.875
Y 0.380 0.974 0.784
Y 0.594 0.620 0.403
Ni 0.250 0.625 0.875
Y 0.903 0.810 0.784
H 0.125 0.375 0.250
Y 0.406 0.026 0.310
Y 0.810 0.906 0.026
H 0.000 0.500 0.500
Y 0.880 0.284 0.474
Y 0.810 0.903 0.284
Y 0.216 0.690 0.097
Y 0.474 0.690 0.094
Y 0.784 0.310 0.903
Y 0.716 0.597 0.190
Y 0.120 0.716 0.526
Y 0.974 0.380 0.284
Y 0.526 0.310 0.906
H 0.000 0.000 0.000
Y 0.284 0.880 0.974
Y 0.597 0.716 0.690
Y 0.284 0.403 0.810
H 0.750 0.125 0.875
Y 0.620 0.594 0.903
Y 0.906 0.810 0.526
H 0.500 0.000 0.500
Ni 0.875 0.125 0.250
H 0.000 0.000 0.500
Y 0.403 0.120 0.594
H 0.750 0.625 0.375
H 0.000 0.500 0.000
Y 0.620 0.026 0.216
Y 0.190 0.097 0.716
Y 0.310 0.784 0.403
Ni 0.750 0.375 0.125
Y 0.026 0.406 0.810
Y 0.094 0.190 0.474
Y 0.690 0.474 0.594
Y 0.380 0.406 0.097
Ni 0.125 0.250 0.875
Y 0.406 0.380 0.597
Ni 0.375 0.750 0.625
Y 0.903 0.094 0.620
Ni 0.750 0.875 0.625
Y 0.594 0.974 0.690
Y 0.403 0.284 0.310
Y 0.120 0.403 0.094
Y 0.880 0.597 0.906
Ni 0.125 0.875 0.750
Y 0.026 0.620 0.716
H 0.250 0.375 0.625
Y 0.526 0.216 0.120
Y 0.597 0.880 0.406
Y 0.190 0.094 0.974
Y 0.474 0.784 0.880
H 0.500 0.000 0.000
Y 0.716 0.120 0.026
Y 0.906 0.097 0.880
Y 0.784 0.474 0.380
Ni 0.375 0.625 0.250
H 0.375 0.125 0.750
Y 0.216 0.526 0.620
H 0.500 0.500 0.500
Ni 0.875 0.750 0.125
H 0.875 0.625 0.750
H 0.625 0.875 0.250
Y 0.094 0.903 0.120
Ni 0.625 0.375 0.750
Y 0.690 0.216 0.597
H 0.375 0.250 0.125
H 0.500 0.500 0.000
Y 0.097 0.906 0.380